Entry a
The following is a GGA-PBE calculation of crystalline HgBrN2 at its relaxed geometry, from the Alexandria database.

Cell lengths 6.459, 6.459, 6.459 Å; angles 32.28, 32.28, 32.28 degrees
Atoms (fractional coordinates):
Hg  0.000  0.000  0.000
Br  0.500  0.500  0.500
N  0.114  0.114  0.114
N  0.886  0.886  0.886

Calculated values
N(E_F) = 1.13 states/eV/f.u.
Total moment = 0.0 μB per formula unit

Entry b
The following is a GGA-PBE calculation of crystalline HgBrN2 at its relaxed geometry, from the Alexandria database.

Cell lengths 4.181, 6.728, 10.737 Å; angles 72.65, 85.63, 88.18 degrees
Atoms (fractional coordinates):
Hg  0.000  0.000  0.000
Hg  0.000  0.500  0.000
Br  0.338  0.404  0.190
Br  0.662  0.596  0.810
N  0.289  0.773  0.462
N  0.458  0.813  0.373
N  0.542  0.187  0.627
N  0.711  0.227  0.538

Calculated values
N(E_F) = 0.00 states/eV/f.u.
Total moment = 0.0 μB per formula unit

Entry c
The following is a GGA-PBE calculation of crystalline HgBrN2 at its relaxed geometry, from the Alexandria database.

Cell lengths 4.342, 4.342, 4.342 Å; angles 60.00, 60.00, 60.00 degrees
Atoms (fractional coordinates):
Hg  0.000  0.000  0.000
Br  0.500  0.500  0.500
N  0.250  0.250  0.250
N  0.750  0.750  0.750

Calculated values
N(E_F) = 2.94 states/eV/f.u.
Total moment = 1.0 μB per formula unit

It is entry b that is most stable; the runner-up trails by 1.981 eV/atom.

Entry a
The following is a GGA-PBE calculation of crystalline HgBr2N at its relaxed geometry, from the Alexandria database.

Cell lengths 6.892, 6.892, 6.892 Å; angles 120.12, 120.12, 89.79 degrees
Atoms (fractional coordinates):
Hg  0.375  0.625  0.750
Hg  0.625  0.375  0.250
Br  0.000  0.000  0.000
Br  0.000  0.000  0.500
Br  0.000  0.500  0.000
Br  0.500  0.000  0.500
N  0.125  0.875  0.250
N  0.875  0.125  0.750

Calculated values
N(E_F) = 3.22 states/eV/f.u.
Total moment = 0.0 μB per formula unit

Entry b
The following is a GGA-PBE calculation of crystalline HgBr2N at its relaxed geometry, from the Alexandria database.

Cell lengths 7.571, 7.571, 9.932 Å; angles 115.24, 115.24, 31.05 degrees
Atoms (fractional coordinates):
Hg  0.143  0.143  0.318
Hg  0.857  0.857  0.682
Br  0.202  0.202  0.631
Br  0.498  0.498  0.775
Br  0.502  0.502  0.225
Br  0.798  0.798  0.369
N  0.137  0.137  0.060
N  0.863  0.863  0.940

Calculated values
Total moment = 3.0 μB per formula unit

Entry c
The following is a GGA-PBE calculation of crystalline HgBr2N at its relaxed geometry, from the Alexandria database.

Cell lengths 5.082, 5.082, 5.082 Å; angles 60.00, 60.00, 60.00 degrees
Atoms (fractional coordinates):
Hg  0.000  0.000  0.000
Br  0.250  0.250  0.250
Br  0.750  0.750  0.750
N  0.500  0.500  0.500

Calculated values
N(E_F) = 1.88 states/eV/f.u.
Total moment = 3.0 μB per formula unit

It is entry a that is most stable; the runner-up trails by 0.223 eV/atom.

Entry a
The following is a GGA-PBE calculation of crystalline HgBr3N at its relaxed geometry, from the Alexandria database.

Cell lengths 4.797, 4.797, 4.797 Å; angles 90.00, 90.00, 90.00 degrees
Atoms (fractional coordinates):
Hg  0.000  0.000  0.000
Br  0.000  0.500  0.500
Br  0.500  0.000  0.500
Br  0.500  0.500  0.000
N  0.500  0.500  0.500

Calculated values
N(E_F) = 2.74 states/eV/f.u.
Total moment = 0.0 μB per formula unit

Entry b
The following is a GGA-PBE calculation of crystalline HgBr3N at its relaxed geometry, from the Alexandria database.

Cell lengths 6.537, 7.690, 8.052 Å; angles 73.37, 67.41, 87.57 degrees
Atoms (fractional coordinates):
Hg  0.216  0.183  0.016
Hg  0.784  0.817  0.984
Br  0.164  0.404  0.195
Br  0.314  0.959  0.835
Br  0.318  0.534  0.592
Br  0.682  0.466  0.408
Br  0.686  0.041  0.165
Br  0.836  0.596  0.805
N  0.120  0.847  0.344
N  0.880  0.153  0.656

Calculated values
N(E_F) = 0.00 states/eV/f.u.
Total moment = 3.0 μB per formula unit

It is entry b that is most stable; the runner-up trails by 0.084 eV/atom.

Entry a
The following is a GGA-PBE calculation of crystalline Hg2BrN at its relaxed geometry, from the Alexandria database.

Cell lengths 7.013, 7.013, 7.013 Å; angles 127.36, 127.36, 77.67 degrees
Atoms (fractional coordinates):
Hg  0.375  0.063  0.188
Hg  0.813  0.625  0.688
Hg  0.875  0.187  0.812
Hg  0.937  0.125  0.312
Br  0.250  0.750  0.500
Br  0.500  0.500  0.000
N  0.000  0.000  0.000
N  0.750  0.250  0.500

Calculated values
N(E_F) = 0.00 states/eV/f.u.
Total moment = 0.0 μB per formula unit

Entry b
The following is a GGA-PBE calculation of crystalline Hg2BrN at its relaxed geometry, from the Alexandria database.

Cell lengths 5.243, 5.243, 5.243 Å; angles 60.00, 60.00, 60.00 degrees
Atoms (fractional coordinates):
Hg  0.250  0.250  0.250
Hg  0.750  0.750  0.750
Br  0.000  0.000  0.000
N  0.500  0.500  0.500

Calculated values
N(E_F) = 2.56 states/eV/f.u.
Total moment = 2.3 μB per formula unit

Entry c
The following is a GGA-PBE calculation of crystalline Hg2BrN at its relaxed geometry, from the Alexandria database.

Cell lengths 6.776, 6.776, 11.501 Å; angles 90.00, 90.00, 120.00 degrees
Atoms (fractional coordinates):
Hg  0.000  0.500  0.000
Hg  0.000  0.500  0.500
Hg  0.333  0.667  0.250
Hg  0.500  0.000  0.000
Hg  0.500  0.000  0.500
Hg  0.500  0.500  0.000
Hg  0.500  0.500  0.500
Hg  0.667  0.333  0.750
Br  0.000  0.000  0.000
Br  0.000  0.000  0.500
Br  0.333  0.667  0.750
Br  0.667  0.333  0.250
N  0.333  0.667  0.069
N  0.333  0.667  0.431
N  0.667  0.333  0.569
N  0.667  0.333  0.931

Calculated values
Total moment = 0.0 μB per formula unit

It is entry c that is most stable; the runner-up trails by 0.084 eV/atom.

Entry a
The following is a GGA-PBE calculation of crystalline Hg3BrN at its relaxed geometry, from the Alexandria database.

Cell lengths 5.887, 5.887, 5.887 Å; angles 90.00, 90.00, 90.00 degrees
Atoms (fractional coordinates):
Hg  0.000  0.000  0.500
Hg  0.000  0.500  0.000
Hg  0.500  0.000  0.000
Br  0.000  0.000  0.000
N  0.500  0.500  0.500

Calculated values
N(E_F) = 11.29 states/eV/f.u.
Total moment = 0.0 μB per formula unit

Entry b
The following is a GGA-PBE calculation of crystalline Hg3BrN at its relaxed geometry, from the Alexandria database.

Cell lengths 4.884, 4.884, 4.884 Å; angles 90.00, 90.00, 90.00 degrees
Atoms (fractional coordinates):
Hg  0.000  0.000  0.500
Hg  0.000  0.500  0.000
Hg  0.500  0.000  0.000
Br  0.500  0.500  0.500
N  0.000  0.000  0.000

Calculated values
N(E_F) = 1.68 states/eV/f.u.
Total moment = 0.0 μB per formula unit

It is entry b that is most stable; the runner-up trails by 1.115 eV/atom.

Entry a
The following is a GGA-PBE calculation of crystalline HgBrN at its relaxed geometry, from the Alexandria database.

Cell lengths 4.031, 4.444, 4.227 Å; angles 90.00, 90.00, 90.00 degrees
Atoms (fractional coordinates):
Hg  0.000  0.000  0.000
Br  0.500  0.500  0.688
N  0.500  0.000  0.846

Calculated values
N(E_F) = 0.21 states/eV/f.u.
Total moment = 0.0 μB per formula unit

Entry b
The following is a GGA-PBE calculation of crystalline HgBrN at its relaxed geometry, from the Alexandria database.

Cell lengths 4.375, 4.375, 4.224 Å; angles 90.00, 90.00, 90.00 degrees
Atoms (fractional coordinates):
Hg  0.000  0.000  0.000
Br  0.500  0.500  0.000
N  0.000  0.000  0.500

Calculated values
N(E_F) = 0.73 states/eV/f.u.
Total moment = 2.0 μB per formula unit

It is entry a that is most stable; the runner-up trails by 0.156 eV/atom.

Entry a
The following is a GGA-PBE calculation of crystalline HgBrN at its relaxed geometry, from the Alexandria database.

Cell lengths 4.865, 5.048, 5.048 Å; angles 90.34, 90.00, 90.00 degrees
Atoms (fractional coordinates):
Hg  0.000  0.000  0.000
Hg  0.000  0.500  0.500
Br  0.499  0.501  0.001
Br  0.501  0.001  0.501
N  0.233  0.750  0.250
N  0.767  0.250  0.750

Calculated values
Total moment = 0.0 μB per formula unit

Entry b
The following is a GGA-PBE calculation of crystalline HgBrN at its relaxed geometry, from the Alexandria database.

Cell lengths 4.268, 6.314, 7.328 Å; angles 73.72, 73.44, 74.28 degrees
Atoms (fractional coordinates):
Hg  0.234  0.344  0.422
Hg  0.766  0.656  0.578
Br  0.195  0.871  0.748
Br  0.805  0.129  0.252
N  0.446  0.280  0.849
N  0.554  0.720  0.151

Calculated values
Total moment = 3.0 μB per formula unit

It is entry a that is most stable; the runner-up trails by 0.737 eV/atom.

Entry a
The following is a GGA-PBE calculation of crystalline HgSeBrN2 at its relaxed geometry, from the Alexandria database.

Cell lengths 3.900, 3.900, 8.065 Å; angles 90.00, 90.00, 90.00 degrees
Atoms (fractional coordinates):
Hg  0.000  0.000  0.000
Se  0.500  0.500  0.000
Br  0.500  0.500  0.500
N  0.000  0.500  0.500
N  0.500  0.000  0.500

Calculated values
N(E_F) = 3.07 states/eV/f.u.
Total moment = 1.1 μB per formula unit

Entry b
The following is a GGA-PBE calculation of crystalline HgSeBrN2 at its relaxed geometry, from the Alexandria database.

Cell lengths 4.289, 4.289, 6.311 Å; angles 90.00, 90.00, 90.00 degrees
Atoms (fractional coordinates):
Hg  0.000  0.000  0.000
Se  0.000  0.000  0.500
Br  0.500  0.500  0.500
N  0.000  0.500  0.000
N  0.500  0.000  0.000

Calculated values
N(E_F) = 2.32 states/eV/f.u.
Total moment = 3.9 μB per formula unit

It is entry b that is most stable; the runner-up trails by 0.055 eV/atom.

Entry a
The following is a GGA-PBE calculation of crystalline HgTe2BrN at its relaxed geometry, from the Alexandria database.

Cell lengths 5.987, 5.987, 4.014 Å; angles 90.00, 90.00, 90.00 degrees
Atoms (fractional coordinates):
Hg  0.000  0.000  0.000
Te  0.000  0.500  0.000
Te  0.500  0.000  0.000
Br  0.500  0.500  0.500
N  0.000  0.000  0.500

Calculated values
N(E_F) = 6.10 states/eV/f.u.
Total moment = 1.9 μB per formula unit

Entry b
The following is a GGA-PBE calculation of crystalline HgTe2BrN at its relaxed geometry, from the Alexandria database.

Cell lengths 6.098, 6.098, 3.658 Å; angles 90.00, 90.00, 90.00 degrees
Atoms (fractional coordinates):
Hg  0.000  0.000  0.000
Te  0.000  0.500  0.500
Te  0.500  0.000  0.500
Br  0.500  0.500  0.500
N  0.500  0.500  0.000

Calculated values
N(E_F) = 3.23 states/eV/f.u.
Total moment = 0.0 μB per formula unit

It is entry a that is most stable; the runner-up trails by 0.071 eV/atom.

Entry a
The following is a GGA-PBE calculation of crystalline NaHgBr at its relaxed geometry, from the Alexandria database.

Cell lengths 4.904, 4.904, 11.481 Å; angles 100.80, 100.80, 60.56 degrees
Atoms (fractional coordinates):
Na  0.203  0.203  0.119
Na  0.797  0.797  0.881
Hg  0.311  0.311  0.427
Hg  0.689  0.689  0.573
Br  0.125  0.125  0.855
Br  0.875  0.875  0.145

Calculated values
N(E_F) = 0.00 states/eV/f.u.
Total moment = 0.0 μB per formula unit

Entry b
The following is a GGA-PBE calculation of crystalline NaHgBr at its relaxed geometry, from the Alexandria database.

Cell lengths 4.603, 4.603, 5.983 Å; angles 90.00, 90.00, 120.00 degrees
Atoms (fractional coordinates):
Na  0.000  0.000  0.000
Hg  0.667  0.333  0.407
Br  0.333  0.667  0.849

Calculated values
N(E_F) = 0.00 states/eV/f.u.
Total moment = 0.0 μB per formula unit

It is entry a that is most stable; the runner-up trails by 0.064 eV/atom.

Entry a
The following is a GGA-PBE calculation of crystalline NaHgBr at its relaxed geometry, from the Alexandria database.

Cell lengths 5.199, 5.199, 5.199 Å; angles 60.00, 60.00, 60.00 degrees
Atoms (fractional coordinates):
Na  0.000  0.000  0.000
Hg  0.250  0.250  0.250
Br  0.750  0.750  0.750

Calculated values
N(E_F) = 0.00 states/eV/f.u.
Total moment = 0.0 μB per formula unit

Entry b
The following is a GGA-PBE calculation of crystalline NaHgBr at its relaxed geometry, from the Alexandria database.

Cell lengths 20.027, 4.299, 4.193 Å; angles 90.00, 90.00, 90.00 degrees
Atoms (fractional coordinates):
Na  0.179  0.250  0.216
Na  0.321  0.750  0.716
Na  0.679  0.250  0.284
Na  0.821  0.750  0.784
Hg  0.006  0.250  0.750
Hg  0.494  0.750  0.250
Hg  0.506  0.250  0.750
Hg  0.994  0.750  0.250
Br  0.173  0.750  0.716
Br  0.327  0.250  0.216
Br  0.673  0.750  0.784
Br  0.827  0.250  0.284

Calculated values
N(E_F) = 0.65 states/eV/f.u.
Total moment = 0.0 μB per formula unit

It is entry b that is most stable; the runner-up trails by 0.127 eV/atom.